# 1
First-principles (PBE-GGA) data for a relaxed Y2MnHIr crystal, as listed in Alexandria.

Cell lengths 4.873, 4.873, 3.573 Å; angles 90.00, 90.00, 90.00 degrees
Element x y z (fractional)
Y: 0.000 0.500 0.000
Y: 0.500 0.000 0.000
H: 0.000 0.000 0.000
Ir: 0.500 0.500 0.500
Mn: 0.000 0.000 0.500

Properties
- SG = No. 123

# 2
First-principles (PBE-GGA) data for a relaxed Mn2ZnHIr crystal, as listed in Alexandria.

Cell lengths 3.812, 3.812, 3.860 Å; angles 90.00, 90.00, 90.00 degrees
Element x y z (fractional)
H: 0.000 0.000 0.000
Zn: 0.500 0.500 0.500
Ir: 0.000 0.000 0.500
Mn: 0.000 0.500 0.000
Mn: 0.500 0.000 0.000

Properties
- SG = No. 123
- distance to the lowest polymorph of the same formula (eV/atom) = 0.000

# 3
First-principles (PBE-GGA) data for a relaxed Mn2ZnHIr crystal, as listed in Alexandria.

Cell lengths 3.691, 3.691, 4.033 Å; angles 90.00, 90.00, 90.00 degrees
Element x y z (fractional)
H: 0.000 0.000 0.000
Zn: 0.000 0.000 0.500
Ir: 0.500 0.500 0.500
Mn: 0.000 0.500 0.000
Mn: 0.500 0.000 0.000

Properties
- SG = No. 123
- distance to the lowest polymorph of the same formula (eV/atom) = 0.041

Electronic total energy across the listed records, respectively: -36.1, -32.0, -31.8 eV/cell.
Ρ across the listed records, respectively: 8.34, 10.91, 11.14 g/cm3.